Record 1
{
  "formula": "Cr2CoSb",
  "functional": "GGA-PBE",
  "state": "optimized geometry",
  "sg": "Pmm2",
  "energy_ev_per_atom": -7.30,
  "formation_energy_uncorrected_kj_per_mol_atoms": 31,
  "dos_ef_per_ev_fu": 3.695,
  "crystal_system": "orthorhombic",
  "cell": [[-0.6762, 4.1902, 0.4139], [-2.6446, -0.5558, 1.3064], [2.0033, -0.0743, 4.0252]],
  "species": ["Sb", "Co", "Cr", "Cr"],
  "frac_coords": [[0.0000, 0.6249, 0.4742], [0.5000, 0.6252, 0.7946], [0.0000, 0.1248, 0.9785], [0.5000, 0.1250, 0.2527]]
}

=====

Record 2
{
  "formula": "Ge3SbN",
  "functional": "GGA-PBE",
  "state": "optimized geometry",
  "sg": "Pm-3m",
  "energy_ev_per_atom": -3.20,
  "formation_energy_uncorrected_kj_per_mol_atoms": 199,
  "dos_ef_per_ev_fu": 3.251,
  "crystal_system": "cubic",
  "cell": [[-2.5243, 3.7812, -2.7632], [-4.0747, -0.2259, 3.4133], [2.3086, 3.7359, 3.0032]],
  "species": ["Ge", "Sb", "Ge", "Ge", "N"],
  "frac_coords": [[0.0000, 0.5000, 0.0000], [0.0000, 0.0000, 0.0000], [0.5000, 0.0000, 0.0000], [0.0000, 0.0000, 0.5000], [0.5000, 0.5000, 0.5000]]
}

=====

Record 3
{
  "formula": "Ag2GeO2",
  "functional": "GGA-PBE",
  "state": "optimized geometry",
  "sg": "I4/mmm",
  "energy_ev_per_atom": -3.72,
  "formation_energy_uncorrected_kj_per_mol_atoms": 32,
  "dos_ef_per_ev_fu": 0.238,
  "crystal_system": "tetragonal",
  "cell": [[3.6914, 0.0000, 0.0000], [0.0000, 3.6914, 0.0000], [1.8457, 1.8457, 5.6470]],
  "species": ["O", "O", "Ge", "Ag", "Ag"],
  "frac_coords": [[0.3968, 0.3968, 0.2064], [0.6032, 0.6032, 0.7936], [0.0000, 0.0000, 0.0000], [0.2500, 0.7500, 0.5000], [0.7500, 0.2500, 0.5000]]
}

=====

Record 4
{
  "formula": "PdPbSe",
  "functional": "GGA-PBE",
  "state": "optimized geometry",
  "sg": "F-43m",
  "energy_ev_per_atom": -4.45,
  "formation_energy_uncorrected_kj_per_mol_atoms": -31,
  "dos_ef_per_ev_fu": 1.352,
  "crystal_system": "cubic",
  "cell": [[4.6556, 0.0000, 0.0000], [2.3278, 4.0319, 0.0000], [2.3278, 1.3440, 3.8013]],
  "species": ["Pb", "Se", "Pd"],
  "frac_coords": [[0.5000, 0.5000, 0.5000], [0.0000, 0.0000, 0.0000], [0.2500, 0.2500, 0.2500]]
}